(1)
Here is a relaxed BaPuAs2Ru crystal from the Alexandria database. Energies are from PBE.

POSCAR file:
```
BaPuAs2Ru
1.0
-2.077 2.077 7.263
2.077 -2.077 7.263
2.077 2.077 -7.263
Ba Pu As Ru
1 1 2 1
direct
0.000 0.000 0.000
0.750 0.250 0.500
0.379 0.379 0.000
0.621 0.621 0.000
0.250 0.750 0.500
```

The total magnetic moment comes out at 4.57 μB/f.u. The calculation puts the total energy at -7.533 eV/atom. Its space group is I-4m2, No. 119.

=====

(2)
Here is a relaxed BaPu2SnAs4 crystal from the Alexandria database. Energies are from PBE.

POSCAR file:
```
BaPu2SnAs4
1.0
2.166 -7.317 0.000
2.166 7.317 0.000
0.000 0.000 14.302
Ba Pu Sn As
2 4 2 8
direct
0.123 0.877 0.750
0.877 0.123 0.250
0.375 0.625 0.555
0.375 0.625 0.945
0.625 0.375 0.055
0.625 0.375 0.445
0.151 0.849 0.250
0.849 0.151 0.750
0.000 0.000 0.000
0.000 0.000 0.500
0.260 0.740 0.106
0.260 0.740 0.394
0.454 0.546 0.750
0.546 0.454 0.250
0.740 0.260 0.606
0.740 0.260 0.894
```

The total magnetic moment comes out at 9.81 μB/f.u. The calculation puts the total energy at -7.374 eV/atom. Its space group is Cmcm, No. 63.

=====

(3)
Here is a relaxed Ba2PuThAs4 crystal from the Alexandria database. Energies are from PBE.

POSCAR file:
```
Ba2PuThAs4
1.0
7.623 0.000 0.000
0.000 4.413 0.000
-2.550 0.000 7.489
Ba Pu Th As
2 1 1 4
direct
0.000 0.000 0.000
0.500 0.500 0.000
0.000 0.500 0.500
0.500 0.000 0.500
0.229 0.000 0.703
0.259 0.500 0.290
0.741 0.500 0.710
0.771 0.000 0.297
```

The total magnetic moment comes out at 3.99 μB/f.u. The calculation puts the total energy at -6.657 eV/atom. Its space group is P2/m, No. 10.

=====

(4)
Here is a relaxed Ba3Pu2UAs6 crystal from the Alexandria database. Energies are from PBE.

POSCAR file:
```
Ba3Pu2UAs6
1.0
3.772 -6.533 0.000
3.772 6.533 0.000
-2.513 0.000 7.403
Ba Pu U As
3 2 1 6
direct
0.000 0.000 0.000
0.331 0.669 0.000
0.669 0.331 0.000
0.166 0.834 0.500
0.834 0.166 0.500
0.500 0.500 0.500
0.111 0.434 0.301
0.244 0.244 0.700
0.434 0.111 0.301
0.566 0.889 0.699
0.756 0.756 0.300
0.889 0.566 0.699
```

The total magnetic moment comes out at 10.00 μB/f.u. The calculation puts the total energy at -7.103 eV/atom. Its space group is C2/m, No. 12.

=====

(5)
Here is a relaxed RbBa2As crystal from the Alexandria database. Energies are from PBE.

POSCAR file:
```
RbBa2As
1.0
-5.138 5.138 4.186
5.138 -5.138 4.186
5.138 5.138 -4.186
Rb Ba As
2 4 2
direct
0.000 0.000 0.000
0.750 0.250 0.500
0.222 0.125 0.597
0.375 0.778 0.903
0.528 0.625 0.403
0.875 0.472 0.097
0.250 0.750 0.500
0.500 0.500 0.000
```

The total magnetic moment comes out at 0.00 μB/f.u. The distance to the lowest polymorph of the same formula comes out at 0.243 eV per atom. Its space group is I-42d, No. 122.

=====

(6)
Here is a relaxed RbBa2As crystal from the Alexandria database. Energies are from PBE.

POSCAR file:
```
RbBa2As
1.0
2.400 1.386 12.248
-2.400 1.386 12.248
0.000 -2.771 12.248
Rb Ba As
1 2 1
direct
0.000 0.000 0.000
0.215 0.215 0.215
0.453 0.453 0.453
0.834 0.834 0.834
```

The total magnetic moment comes out at 0.00 μB/f.u. The distance to the lowest polymorph of the same formula comes out at 0.001 eV per atom. Its space group is R3m, No. 160.